No. 1
A plane-wave DFT calculation with GGA-PBE was carried out for a relaxed structure of LaPr12Al4N3.

a b c (Å): 10.305 10.305 10.305
angles (deg): 90.00 90.00 90.00
Space group Im-3m (No. 229)
One atom of each set of equivalent atoms:
La  0.000  0.000  0.000 (multiplicity 2)
Pr  0.000  0.000  0.274 (multiplicity 12)
Pr  0.000  0.250  0.500 (multiplicity 12)
Al  0.250  0.250  0.250 (multiplicity 8)
N  0.000  0.000  0.500 (multiplicity 6)

Computed properties:
The uncorrected formation energy comes out at -0.334 eV/atom.


No. 2
A plane-wave DFT calculation with GGA-PBE was carried out for a relaxed structure of CaThAs2Rh5.

a b c (Å): 4.340 4.340 8.566
angles (deg): 90.00 90.00 90.00
Space group P4/mmm (No. 123)
One atom of each set of equivalent atoms:
Ca  0.000  0.000  0.000 (multiplicity 1)
Th  0.000  0.000  0.500 (multiplicity 1)
As  0.500  0.500  0.345 (multiplicity 2)
Rh  0.000  0.500  0.231 (multiplicity 4)
Rh  0.500  0.500  0.000 (multiplicity 1)

Computed properties:
As for the formation energy: -0.6448 eV/atom.


No. 3
A plane-wave DFT calculation with GGA-PBE was carried out for a relaxed structure of Yb5Co4Ge10.

a b c (Å): 12.752 12.752 4.228
angles (deg): 90.00 90.00 90.00
Space group P4/mbm (No. 127)
One atom of each set of equivalent atoms:
Yb  0.000  0.000  0.000 (multiplicity 2)
Yb  0.111  0.389  0.500 (multiplicity 4)
Yb  0.177  0.677  0.500 (multiplicity 4)
Co  0.024  0.755  0.000 (multiplicity 8)
Ge  0.004  0.834  0.500 (multiplicity 8)
Ge  0.070  0.570  0.000 (multiplicity 4)
Ge  0.155  0.196  0.000 (multiplicity 8)

Computed properties:
As for the formation energy: -0.5357 eV/atom.


No. 4
A plane-wave DFT calculation with GGA-PBE was carried out for a relaxed structure of Ca3CdAu.

a b c (Å): 5.681 5.681 5.681
angles (deg): 90.00 90.00 90.00
Space group Pm-3m (No. 221)
One atom of each set of equivalent atoms:
Ca  0.000  0.000  0.500 (multiplicity 3)
Cd  0.500  0.500  0.500 (multiplicity 1)
Au  0.000  0.000  0.000 (multiplicity 1)

Computed properties:
As for the formation energy: -0.3014 eV/atom. As for the energy above the lowest structure with this stoichiometry: 168.8 meV per atom.


No. 5
A plane-wave DFT calculation with GGA-PBE was carried out for a relaxed structure of VMo2RhS.

a b c (Å): 4.553 4.553 4.214
angles (deg): 90.00 90.00 90.00
Space group P4/mmm (No. 123)
One atom of each set of equivalent atoms:
V  0.000  0.000  0.000 (multiplicity 1)
Mo  0.000  0.500  0.000 (multiplicity 2)
Rh  0.500  0.500  0.500 (multiplicity 1)
S  0.000  0.000  0.500 (multiplicity 1)

Computed properties:
The uncorrected formation energy comes out at 1.192 eV/atom.


No. 6
A plane-wave DFT calculation with GGA-PBE was carried out for a relaxed structure of MgCd2Bi2.

a b c (Å): 8.840 5.712 5.845
angles (deg): 90.00 100.48 90.00
Space group C2/m (No. 12)
One atom of each set of equivalent atoms:
Mg  0.000  0.000  0.000 (multiplicity 2)
Cd  0.000  0.243  0.500 (multiplicity 4)
Bi  0.173  0.500  0.162 (multiplicity 4)

Computed properties:
As for the formation energy: 0.0107 eV/atom. As for the energy above the lowest structure with this stoichiometry: 0.0 meV per atom.


No. 7
A plane-wave DFT calculation with GGA-PBE was carried out for a relaxed structure of Mn2TeOs.

a b c (Å): 8.522 3.130 4.721
angles (deg): 90.00 100.72 90.00
Space group Cm (No. 8)
One atom of each set of equivalent atoms:
Mn  0.000  0.000  0.000 (multiplicity 2)
Mn  0.248  0.500  0.233 (multiplicity 2)
Te  0.247  0.000  0.753 (multiplicity 2)
Os  0.488  0.000  0.438 (multiplicity 2)

Computed properties:
The uncorrected formation energy comes out at 0.428 eV/atom.


No. 8
A plane-wave DFT calculation with GGA-PBE was carried out for a relaxed structure of Li3La2Ag3.

a b c (Å): 8.3135 8.3135 7.0552
angles (deg): 90.00 90.00 120.00
Space group P6_3/mcm (No. 193)
One atom of each set of equivalent atoms:
Li  0.0000  0.2410  0.2500 (multiplicity 6)
La  0.3333  0.6667  0.0000 (multiplicity 4)
Ag  0.0000  0.3804  0.7500 (multiplicity 6)

Computed properties:
As for the formation energy: -0.0748 eV/atom.